(1)
Here is a geometry-optimized BaLaGa structure from Alexandria. Energies are from PBE.

For the energy of formation, the calculation gives -0.253 eV per atom. Its crystal system is orthorhombic. For the total DFT energy (no corrections), the calculation gives -42.54 eV for the cell shown.

The space group is Pnma (No. 62) and the conventional cell measures 8.674, 3.784 and 12.781 Å, with angles of 90.00, 90.00 and 90.00 degrees. The inequivalent atoms are Ba at (0.166, 0.250, 0.091), La at (0.094, 0.250, 0.351) and Ga at (0.125, 0.250, 0.793).

***

(2)
Here is a geometry-optimized BaLaGa structure from Alexandria. Energies are from PBE.

For the energy of formation, the calculation gives -0.332 eV per atom. Its crystal system is orthorhombic. For the total DFT energy (no corrections), the calculation gives -43.49 eV for the cell shown.

The space group is Pnma (No. 62) and the conventional cell measures 8.769, 5.288 and 9.237 Å, with angles of 90.00, 90.00 and 90.00 degrees. The inequivalent atoms are Ba at (0.022, 0.250, 0.171), La at (0.145, 0.250, 0.585) and Ga at (0.207, 0.750, 0.395).

***

(3)
Here is a geometry-optimized BaLaGa structure from Alexandria. Energies are from PBE.

For the energy of formation, the calculation gives -0.257 eV per atom. Its crystal system is tetragonal. For the total DFT energy (no corrections), the calculation gives -21.30 eV for the cell shown.

The space group is I4mm (No. 107) and the conventional cell measures 3.982, 3.982 and 14.105 Å, with angles of 90.00, 90.00 and 90.00 degrees. The inequivalent atoms are Ba at (0.000, 0.000, 0.000), La at (0.000, 0.000, 0.258) and Ga at (0.000, 0.000, 0.656).